The following is a DFT calculation (PBE) of crystalline K2TcBr6 at its relaxed geometry.

a b c (Å): 10.601 10.601 10.601
angles (deg): 90.00 90.00 90.00
Space group Fm-3m (No. 225)
Asymmetric unit:
K: 0.250 0.250 0.250 (multiplicity 8)
Tc: 0.000 0.000 0.000 (multiplicity 4)
Br: 0.000 0.000 0.239 (multiplicity 24)

- magnetic moment (μB/cell) = 11.9
- E_form (uncorrected) (meV/atom) = -1030

=====

The following is a DFT calculation (PBE) of crystalline KTcBr at its relaxed geometry.

a b c (Å): 3.364 3.364 12.650
angles (deg): 90.00 90.00 90.00
Space group I4mm (No. 107)
Asymmetric unit:
K: 0.000 0.000 0.000 (multiplicity 2)
Tc: 0.000 0.000 0.291 (multiplicity 2)
Br: 0.000 0.000 0.713 (multiplicity 2)

- magnetic moment (μB/cell) = 0.0
- E_form (uncorrected) (meV/atom) = 630